PrTmScIn: optimized geometry, PBE.

a b c (Å): 5.3982 5.3982 5.3982
angles (deg): 60.00 60.00 60.00
Site moments in Bohr magnetons follow the coordinates.
Sites, in units of the cell vectors:
Pr 0.2500 0.2500 0.2500  0.12
In 0.5000 0.5000 0.5000  -0.01
Tm 0.7500 0.7500 0.7500  0.23
Sc 0.0000 0.0000 0.0000  0.35

Summary:
offset from the most stable computed form = 0 meV/atom
space group = F-43m, No. 216
ΔE_f = -0.150 eV per atom